Record 1
Density functional theory data (PBE) for an optimized crystal structure of MgZnPbF6.

Geometry as POSCAR:
```
MgZnPbF6
1.0
5.402 0.000 0.000
-2.701 4.678 0.000
0.000 0.000 10.546
F Pb Mg Zn
12 2 2 2
direct
0.365 0.372 0.855
0.007 0.372 0.645
0.628 0.993 0.855
0.372 0.365 0.355
0.993 0.365 0.145
0.007 0.635 0.855
0.635 0.007 0.355
0.372 0.007 0.145
0.365 0.993 0.645
0.635 0.628 0.145
0.628 0.635 0.645
0.993 0.628 0.355
0.000 0.000 0.500
0.000 0.000 0.000
0.333 0.667 0.750
0.667 0.333 0.250
0.333 0.667 0.250
0.667 0.333 0.750
```

## Properties
**Space group**: P-31c, No. 163
**Theoretical density**: 5.12 g/cm³
**Size of the total moment**: 0.000 μB/atom
**DFT total energy**: -85.23 eV per cell

---

Record 2
Density functional theory data (PBE) for an optimized crystal structure of Mg2ZnPbF8.

Geometry as POSCAR:
```
Mg2ZnPbF8
1.0
5.003 0.048 -0.003
0.097 4.993 -0.005
0.005 0.008 6.628
F Zn Mg Pb
8 1 2 1
direct
0.213 0.785 0.213
0.787 0.215 0.213
0.787 0.215 0.787
0.337 0.333 0.500
0.308 0.306 0.000
0.663 0.667 0.500
0.213 0.785 0.787
0.692 0.694 0.000
0.000 0.000 0.000
0.500 0.500 0.765
0.500 0.500 0.235
0.000 0.000 0.500
```

## Properties
**Space group**: P2/m, No. 10
**Theoretical density**: 4.75 g/cm³
**Size of the total moment**: 0.000 μB/atom
**DFT total energy**: -57.69 eV per cell

---

Record 3
Density functional theory data (PBE) for an optimized crystal structure of MgPdF4.

Geometry as POSCAR:
```
MgPdF4
1.0
-5.462 1.904 -2.672
2.008 -2.163 -5.647
0.754 -2.003 4.630
F Pd Mg
4 1 1
direct
0.201 0.378 0.986
0.785 0.608 0.986
0.392 0.799 0.014
0.622 0.215 0.014
0.500 0.500 0.000
0.750 0.250 0.500
```

## Properties
**Space group**: I-4, No. 82
**Theoretical density**: 3.54 g/cm³
**Size of the total moment**: 0.016 μB/atom
**DFT total energy**: -27.61 eV per cell

---

Record 4
Density functional theory data (PBE) for an optimized crystal structure of MgPd3F9.

Geometry as POSCAR:
```
MgPd3F9
1.0
-1.908 -5.272 -2.710
6.106 -4.930 -1.863
-3.532 -5.922 6.854
F Mg Pd
18 2 6
direct
0.654 0.937 0.226
0.183 0.437 0.726
0.289 0.263 0.410
0.375 0.306 0.933
0.705 0.395 0.712
0.386 0.806 0.433
0.038 0.763 0.910
0.188 0.895 0.212
0.865 0.983 0.724
0.429 0.483 0.224
0.711 0.081 0.466
0.869 0.334 0.331
0.301 0.075 0.665
0.950 0.120 0.032
0.742 0.581 0.966
0.467 0.834 0.831
0.959 0.575 0.165
0.897 0.620 0.532
0.094 0.523 0.946
0.436 0.023 0.446
0.135 0.421 0.286
0.530 0.710 0.203
0.834 0.111 0.243
0.812 0.611 0.743
0.557 0.210 0.703
0.157 0.921 0.786
```

## Properties
**Space group**: Cc, No. 9
**Theoretical density**: 4.10 g/cm³
**Size of the total moment**: 0.080 μB/atom
**DFT total energy**: -109.88 eV per cell

---

Record 5
Density functional theory data (PBE) for an optimized crystal structure of MgPdF2.

Geometry as POSCAR:
```
MgPdF2
1.0
5.501 0.000 0.000
0.000 5.501 0.000
2.751 2.751 4.453
F Mg Pd
4 2 2
direct
0.260 0.625 0.250
0.375 0.510 0.750
0.875 0.740 0.750
0.490 0.125 0.250
0.250 0.750 0.500
0.500 0.500 0.000
0.000 0.000 0.000
0.750 0.250 0.500
```

## Properties
**Space group**: I-42d, No. 122
**Theoretical density**: 4.16 g/cm³
**Size of the total moment**: 0.025 μB/atom
**DFT total energy**: -35.77 eV per cell

---

Record 6
Density functional theory data (PBE) for an optimized crystal structure of Mg3PdF.

Geometry as POSCAR:
```
Mg3PdF
1.0
4.984 0.000 0.000
0.000 4.984 0.000
0.000 0.000 4.984
F Pd Mg
1 1 3
direct
0.500 0.500 0.500
0.000 0.000 0.000
0.000 0.500 0.000
0.500 0.000 0.000
0.000 0.000 0.500
```

## Properties
**Space group**: Pm-3m, No. 221
**Theoretical density**: 2.66 g/cm³
**Size of the total moment**: 0.000 μB/atom
**DFT total energy**: -14.56 eV per cell

---

Record 7
Density functional theory data (PBE) for an optimized crystal structure of Mg3PdF.

Geometry as POSCAR:
```
Mg3PdF
1.0
-3.744 -0.587 2.059
0.983 -4.156 0.602
1.902 0.991 3.742
Mg F Pd
3 1 1
direct
0.500 0.000 0.000
0.000 0.500 0.000
0.000 0.000 0.500
0.000 0.000 0.000
0.500 0.500 0.500
```

## Properties
**Space group**: Pm-3m, No. 221
**Theoretical density**: 4.10 g/cm³
**Size of the total moment**: 0.000 μB/atom
**DFT total energy**: -17.19 eV per cell

---

Record 8
Density functional theory data (PBE) for an optimized crystal structure of MgPdF2.

Geometry as POSCAR:
```
MgPdF2
1.0
0.738 -3.707 -1.729
-1.492 -3.452 1.769
-3.093 -2.097 -1.819
Pd F Mg
1 2 1
direct
0.500 0.500 0.500
0.750 0.750 0.750
0.250 0.250 0.250
0.000 0.000 0.000
```

## Properties
**Space group**: Fm-3m, No. 225
**Theoretical density**: 5.52 g/cm³
**Size of the total moment**: 0.036 μB/atom
**DFT total energy**: -16.04 eV per cell

---

Record 9
Density functional theory data (PBE) for an optimized crystal structure of MgPdF2.

Geometry as POSCAR:
```
MgPdF2
1.0
1.694 0.000 8.772
-0.847 1.467 8.772
-0.847 -1.467 8.772
F Pd Mg
2 1 1
direct
0.872 0.872 0.872
0.128 0.128 0.128
0.000 0.000 0.000
0.500 0.500 0.500
```

## Properties
**Space group**: R-3m, No. 166
**Theoretical density**: 4.28 g/cm³
**Size of the total moment**: 0.101 μB/atom
**DFT total energy**: -19.23 eV per cell

---

Record 10
Density functional theory data (PBE) for an optimized crystal structure of Mg2PdF.

Geometry as POSCAR:
```
Mg2PdF
1.0
6.257 0.000 0.000
0.000 6.257 0.000
3.129 3.129 3.274
Mg F Pd
4 2 2
direct
0.194 0.625 0.250
0.875 0.806 0.750
0.556 0.125 0.250
0.375 0.444 0.750
0.250 0.750 0.500
0.500 0.500 0.000
0.750 0.250 0.500
0.000 0.000 0.000
```

## Properties
**Space group**: I-42d, No. 122
**Theoretical density**: 4.51 g/cm³
**Size of the total moment**: 0.000 μB/atom
**DFT total energy**: -31.33 eV per cell

---

Record 11
Density functional theory data (PBE) for an optimized crystal structure of MgPdF6.

Geometry as POSCAR:
```
MgPdF6
1.0
5.080 -0.075 -0.289
2.603 4.369 -0.190
2.821 1.474 4.399
F Mg Pd
6 1 1
direct
0.890 0.620 0.248
0.110 0.380 0.752
0.758 0.110 0.752
0.380 0.758 0.752
0.242 0.890 0.248
0.620 0.242 0.248
0.500 0.500 0.500
0.000 0.000 0.000
```

## Properties
**Space group**: R-3, No. 148
**Theoretical density**: 3.97 g/cm³
**Size of the total moment**: 0.000 μB/atom
**DFT total energy**: -34.88 eV per cell

---

Record 12
Density functional theory data (PBE) for an optimized crystal structure of MgPdF2.

Geometry as POSCAR:
```
MgPdF2
1.0
4.187 3.290 5.601
6.210 1.229 4.432
5.853 4.007 3.067
F Pd Mg
2 1 1
direct
0.918 0.918 0.918
0.082 0.082 0.082
0.500 0.500 0.500
0.000 0.000 0.000
```

## Properties
**Space group**: R-3m, No. 166
**Theoretical density**: 4.43 g/cm³
**Size of the total moment**: 0.156 μB/atom
**DFT total energy**: -15.24 eV per cell